TbYbPt2 after structural relaxation, computed with PBE-GGA.

```
4
Lattice="-1.922 -4.369 1.236 2.867 -4.009 0.119 1.163 -2.071 4.321" Properties=species:S:1:pos:R:3 pbc="T T T"
Pt 0.527 -2.613 1.419
Pt 1.581 -7.838 4.257
Tb 1.054 -5.225 2.838
Yb 0.000 0.000 0.000
```

For the calculated volume, the calculation gives 21.19 Å³ per atom. Its density of states at the Fermi level is 3.957 states/eV per atom. Its formation energy is -1.145 eV per atom. The space-group type is Fm-3m (225).